A | This record from OQMD via LeMat-Bulk describes a geometry-optimized TmCuGeSe3 structure. The functional is PBE.

Cell lengths 6.8353, 6.8353, 10.3748 Å; angles 90.00, 90.00, 146.96 degrees
Closest atoms and distances in Å follow each position.
Positions (direct):
Se: 0.6466 0.3534 0.0697  1 Cu 2.44
Se: 0.6466 0.3534 0.4303  1 Cu 2.44
Se: 0.3534 0.6466 0.9303  1 Cu 2.44
Se: 0.9087 0.0913 0.2500  2 Cu 2.48
Se: 0.0913 0.9087 0.7500  2 Cu 2.48
Se: 0.3534 0.6466 0.5697  1 Cu 2.44
Ge: 0.2255 0.7745 0.2500  6 Se 2.89-3.09
Ge: 0.7745 0.2255 0.7500  6 Se 2.89-3.09
Tm: 0.0000 0.0000 0.5000  6 Se 2.83-2.86
Tm: 0.0000 0.0000 0.0000  6 Se 2.83-2.86
Cu: 0.5266 0.4734 0.2500  4 Se 2.44-2.48
Cu: 0.4734 0.5266 0.7500  4 Se 2.44-2.48

## Properties
Total moment ... 0.00 Bohr magnetons per cell

B | This record from OQMD via LeMat-Bulk describes a geometry-optimized TmCuGeSe3 structure. The functional is PBE.

Cell lengths 10.4206, 3.9993, 13.1758 Å; angles 90.00, 90.00, 90.00 degrees
Closest atoms and distances in Å follow each position.
Positions (direct):
Ge: 0.1770 0.7500 0.5170  5 Se 2.68-2.91
Ge: 0.8230 0.2500 0.4830  5 Se 2.68-2.91
Ge: 0.6770 0.7500 0.9830  5 Se 2.68-2.91
Ge: 0.3230 0.2500 0.0170  5 Se 2.68-2.91
Se: 0.4476 0.7500 0.8910  1 Cu 2.53, 1 Ge 2.68
Se: 0.7361 0.7500 0.3425  2 Cu 2.50
Se: 0.5919 0.7500 0.6039  1 Cu 2.39
Se: 0.7639 0.2500 0.8425  2 Cu 2.50
Se: 0.5524 0.2500 0.1090  1 Cu 2.53, 1 Ge 2.68
Se: 0.9081 0.2500 0.1039  1 Cu 2.39
Se: 0.2361 0.7500 0.1575  2 Cu 2.50
Se: 0.4081 0.2500 0.3961  1 Cu 2.39
Se: 0.0919 0.7500 0.8961  1 Cu 2.39
Se: 0.9476 0.7500 0.6090  1 Cu 2.53, 1 Ge 2.68
Se: 0.0524 0.2500 0.3910  1 Cu 2.53, 1 Ge 2.68
Se: 0.2639 0.2500 0.6575  2 Cu 2.50
Tm: 0.0252 0.2500 0.7657  6 Se 2.73-2.99
Tm: 0.4748 0.7500 0.2657  6 Se 2.73-2.99
Tm: 0.5252 0.2500 0.7343  6 Se 2.73-2.99
Tm: 0.9748 0.7500 0.2343  6 Se 2.73-2.99
Cu: 0.7576 0.7500 0.7290  4 Se 2.39-2.53
Cu: 0.2576 0.7500 0.7710  4 Se 2.39-2.53
Cu: 0.7424 0.2500 0.2290  4 Se 2.39-2.53
Cu: 0.2424 0.2500 0.2710  4 Se 2.39-2.53

## Properties
Total moment ... 0.01 Bohr magnetons per cell

Most stable one: B, least stable one: A.

A | This record from OQMD via LeMat-Bulk describes a geometry-optimized TbTm2Cu4Si2Ge2 structure. The functional is PBE.

Cell lengths 7.8844, 7.8844, 7.8844 Å; angles 149.53, 130.57, 59.19 degrees
Closest atoms and distances in Å follow each position.
Positions (direct):
Cu: 0.5270 0.8357 0.6913  1 Si 2.40, 1 Cu 2.52, 3 Ge 2.53-2.60
Cu: 0.1444 0.8357 0.3087  1 Si 2.40, 1 Cu 2.52, 3 Ge 2.53-2.60
Cu: 0.4730 0.1643 0.3087  1 Si 2.40, 1 Cu 2.52, 3 Ge 2.53-2.60
Cu: 0.8556 0.1643 0.6913  1 Si 2.40, 1 Cu 2.52, 3 Ge 2.53-2.60
Tb: 0.5000 0.5000 0.0000  4 Si 2.95, 2 Ge 2.99
Tm: 0.1286 0.6286 0.5000  6 Cu 2.95-3.11, 2 Ge 2.95, 4 Si 2.97
Tm: 0.8714 0.3714 0.5000  6 Cu 2.95-3.11, 2 Ge 2.95, 4 Si 2.97
Si: 0.8177 0.0000 0.8177  2 Cu 2.40, 1 Si 2.40
Si: 0.1823 0.0000 0.1823  2 Cu 2.40, 1 Si 2.40
Ge: 0.7179 0.7179 0.0000  6 Cu 2.53-2.60
Ge: 0.2821 0.2821 0.0000  6 Cu 2.53-2.60

## Properties
Total moment ... 0.00 Bohr magnetons per cell

B | This record from OQMD via LeMat-Bulk describes a geometry-optimized TbTm2Cu4Si2Ge2 structure. The functional is PBE.

Cell lengths 7.8883, 7.8883, 7.8883 Å; angles 149.85, 130.46, 59.09 degrees
Closest atoms and distances in Å follow each position.
Positions (direct):
Si: 0.7176 0.7176 0.0000  6 Cu 2.48-2.52
Si: 0.2824 0.2824 0.0000  6 Cu 2.48-2.52
Cu: 0.1342 0.8254 0.3089  3 Si 2.48-2.52, 1 Ge 2.52, 1 Cu 2.53
Cu: 0.4835 0.1746 0.3089  3 Si 2.48-2.52, 1 Ge 2.52, 1 Cu 2.53
Cu: 0.5165 0.8254 0.6911  3 Si 2.48-2.52, 1 Ge 2.52, 1 Cu 2.53
Cu: 0.8658 0.1746 0.6911  3 Si 2.48-2.52, 1 Ge 2.52, 1 Cu 2.53
Ge: 0.8086 0.0000 0.8086  2 Cu 2.52, 1 Ge 2.53
Ge: 0.1914 0.0000 0.1914  2 Cu 2.52, 1 Ge 2.53
Tm: 0.1294 0.6294 0.5000  2 Si 2.94, 6 Cu 2.96-2.97, 4 Ge 2.99
Tm: 0.8706 0.3706 0.5000  2 Si 2.94, 6 Cu 2.96-2.97, 4 Ge 2.99
Tb: 0.5000 0.5000 0.0000  4 Ge 2.89, 2 Si 2.99

## Properties
Total moment ... 0.00 Bohr magnetons per cell

Most stable one: B, least stable one: A.

A | This record from OQMD via LeMat-Bulk describes a geometry-optimized Tb2TmCu4Si2Ge2 structure. The functional is PBE.

Cell lengths 7.9316, 7.9316, 7.9316 Å; angles 149.67, 131.05, 58.67 degrees
Closest atoms and distances in Å follow each position.
Positions (direct):
Tm: 0.5000 0.5000 0.0000  4 Ge 2.89, 2 Si 2.98
Tb: 0.8698 0.3698 0.5000  6 Cu 2.97-2.99, 2 Si 2.98, 4 Ge 3.03
Tb: 0.1302 0.6302 0.5000  6 Cu 2.97-2.99, 2 Si 2.98, 4 Ge 3.03
Ge: 0.8052 0.0000 0.8052  2 Cu 2.51, 1 Ge 2.56
Ge: 0.1948 0.0000 0.1948  2 Cu 2.51, 1 Ge 2.56
Cu: 0.8632 0.1731 0.6901  3 Si 2.49-2.55, 1 Cu 2.50, 1 Ge 2.51
Cu: 0.4831 0.1731 0.3099  3 Si 2.49-2.55, 1 Cu 2.50, 1 Ge 2.51
Cu: 0.5169 0.8269 0.6901  3 Si 2.49-2.55, 1 Cu 2.50, 1 Ge 2.51
Cu: 0.1368 0.8269 0.3099  3 Si 2.49-2.55, 1 Cu 2.50, 1 Ge 2.51
Si: 0.7153 0.7153 0.0000  6 Cu 2.49-2.55
Si: 0.2847 0.2847 0.0000  6 Cu 2.49-2.55

## Properties
Total moment ... 0.00 Bohr magnetons per cell

B | This record from OQMD via LeMat-Bulk describes a geometry-optimized Tb2TmCu4Si2Ge2 structure. The functional is PBE.

Cell lengths 7.9284, 7.9284, 7.9284 Å; angles 149.31, 131.04, 58.91 degrees
Closest atoms and distances in Å follow each position.
Positions (direct):
Tb: 0.3699 0.8699 0.5000  6 Cu 2.96-3.12, 2 Ge 2.99, 4 Si 3.02
Tb: 0.6302 0.1301 0.5000  6 Cu 2.96-3.12, 2 Ge 2.99, 4 Si 3.02
Cu: 0.6475 0.3371 0.3104  1 Si 2.40, 1 Cu 2.49, 3 Ge 2.55-2.64
Cu: 0.9733 0.6629 0.3104  1 Si 2.40, 1 Cu 2.49, 3 Ge 2.55-2.64
Cu: 0.3525 0.6629 0.6896  1 Si 2.40, 1 Cu 2.49, 3 Ge 2.55-2.64
Cu: 0.0267 0.3371 0.6896  1 Si 2.40, 1 Cu 2.49, 3 Ge 2.55-2.64
Ge: 0.7845 0.7845 0.0000  6 Cu 2.55-2.64
Ge: 0.2155 0.2155 0.0000  6 Cu 2.55-2.64
Si: 0.6846 0.5000 0.1846  2 Cu 2.40, 1 Si 2.43
Si: 0.3154 0.5000 0.8154  2 Cu 2.40, 1 Si 2.43
Tm: 0.0000 0.0000 0.0000  4 Si 2.95, 2 Ge 2.98

## Properties
Total moment ... 0.00 Bohr magnetons per cell

Most stable one: A, least stable one: B.

A | This record from OQMD via LeMat-Bulk describes a geometry-optimized TbY2Cu4Si2Ge2 structure. The functional is PBE.

Cell lengths 7.9419, 7.9419, 7.9419 Å; angles 149.43, 130.85, 59.00 degrees
Closest atoms and distances in Å follow each position.
Positions (direct):
Y: 0.6293 0.1293 0.5000  6 Cu 2.97-3.13, 2 Ge 2.98, 4 Si 3.01
Y: 0.3707 0.8707 0.5000  6 Cu 2.97-3.13, 2 Ge 2.98, 4 Si 3.01
Si: 0.3168 0.5000 0.8168  2 Cu 2.41, 1 Si 2.42
Si: 0.6832 0.5000 0.1832  2 Cu 2.41, 1 Si 2.42
Cu: 0.0265 0.3367 0.6899  1 Si 2.41, 1 Cu 2.51, 3 Ge 2.55-2.63
Cu: 0.6468 0.3367 0.3101  1 Si 2.41, 1 Cu 2.51, 3 Ge 2.55-2.63
Cu: 0.9735 0.6633 0.3101  1 Si 2.41, 1 Cu 2.51, 3 Ge 2.55-2.63
Cu: 0.3532 0.6633 0.6899  1 Si 2.41, 1 Cu 2.51, 3 Ge 2.55-2.63
Ge: 0.7831 0.7831 0.0000  6 Cu 2.55-2.63
Ge: 0.2169 0.2169 0.0000  6 Cu 2.55-2.63
Tb: 0.0000 0.0000 0.0000  4 Si 2.96, 2 Ge 3.00

## Properties
Total moment ... 0.00 Bohr magnetons per cell

B | This record from OQMD via LeMat-Bulk describes a geometry-optimized TbY2Cu4Si2Ge2 structure. The functional is PBE.

Cell lengths 7.9586, 7.9586, 7.9586 Å; angles 149.81, 130.76, 58.85 degrees
Closest atoms and distances in Å follow each position.
Positions (direct):
Cu: 0.3634 0.6736 0.6898  3 Si 2.50-2.56, 1 Cu 2.52, 1 Ge 2.53
Cu: 0.0162 0.3264 0.6898  3 Si 2.50-2.56, 1 Cu 2.52, 1 Ge 2.53
Cu: 0.6366 0.3264 0.3102  3 Si 2.50-2.56, 1 Cu 2.52, 1 Ge 2.53
Cu: 0.9838 0.6736 0.3102  3 Si 2.50-2.56, 1 Cu 2.52, 1 Ge 2.53
Si: 0.7832 0.7832 0.0000  6 Cu 2.50-2.56
Si: 0.2168 0.2168 0.0000  6 Cu 2.50-2.56
Y: 0.6300 0.1300 0.5000  2 Si 2.97, 6 Cu 2.98-3.00, 4 Ge 3.03
Y: 0.3700 0.8700 0.5000  2 Si 2.97, 6 Cu 2.98-3.00, 4 Ge 3.03
Ge: 0.6929 0.5000 0.1929  2 Cu 2.53, 1 Ge 2.56
Ge: 0.3071 0.5000 0.8071  2 Cu 2.53, 1 Ge 2.56
Tb: 0.0000 0.0000 0.0000  4 Ge 2.91, 2 Si 3.01

## Properties
Total moment ... 0.01 Bohr magnetons per cell

Most stable one: B, least stable one: A.

A | This record from OQMD via LeMat-Bulk describes a geometry-optimized Tb2YCu4Si2Ge2 structure. The functional is PBE.

Cell lengths 7.9490, 7.9490, 7.9490 Å; angles 149.38, 131.01, 58.88 degrees
Closest atoms and distances in Å follow each position.
Positions (direct):
Cu: 0.6478 0.3373 0.3105  1 Si 2.40, 1 Cu 2.50, 3 Ge 2.55-2.64
Cu: 0.3522 0.6627 0.6895  1 Si 2.40, 1 Cu 2.50, 3 Ge 2.55-2.64
Cu: 0.0268 0.3373 0.6895  1 Si 2.40, 1 Cu 2.50, 3 Ge 2.55-2.64
Cu: 0.9732 0.6627 0.3105  1 Si 2.40, 1 Cu 2.50, 3 Ge 2.55-2.64
Tb: 0.3697 0.8697 0.5000  6 Cu 2.97-3.13, 2 Ge 2.98, 4 Si 3.02
Tb: 0.6303 0.1303 0.5000  6 Cu 2.97-3.13, 2 Ge 2.98, 4 Si 3.02
Si: 0.3170 0.5000 0.8170  2 Cu 2.40, 1 Si 2.41
Si: 0.6830 0.5000 0.1830  2 Cu 2.40, 1 Si 2.41
Ge: 0.7835 0.7835 0.0000  6 Cu 2.55-2.64
Ge: 0.2165 0.2165 0.0000  6 Cu 2.55-2.64
Y: 0.0000 0.0000 0.0000  4 Si 2.96, 2 Ge 3.00

## Properties
Total moment ... 0.00 Bohr magnetons per cell

B | This record from OQMD via LeMat-Bulk describes a geometry-optimized Tb2YCu4Si2Ge2 structure. The functional is PBE.

Cell lengths 7.9635, 7.9635, 7.9635 Å; angles 149.72, 130.94, 58.75 degrees
Closest atoms and distances in Å follow each position.
Positions (direct):
Si: 0.7838 0.7838 0.0000  6 Cu 2.50-2.56
Si: 0.2162 0.2162 0.0000  6 Cu 2.50-2.56
Tb: 0.6303 0.1303 0.5000  2 Si 2.98, 6 Cu 2.98-3.00, 4 Ge 3.04
Tb: 0.3697 0.8697 0.5000  2 Si 2.98, 6 Cu 2.98-3.00, 4 Ge 3.04
Ge: 0.3076 0.5000 0.8076  2 Cu 2.53, 1 Ge 2.54
Ge: 0.6924 0.5000 0.1924  2 Cu 2.53, 1 Ge 2.54
Cu: 0.3636 0.6737 0.6899  3 Si 2.50-2.56, 1 Cu 2.51, 1 Ge 2.53
Cu: 0.6364 0.3263 0.3101  3 Si 2.50-2.56, 1 Cu 2.51, 1 Ge 2.53
Cu: 0.0162 0.3263 0.6899  3 Si 2.50-2.56, 1 Cu 2.51, 1 Ge 2.53
Cu: 0.9838 0.6737 0.3101  3 Si 2.50-2.56, 1 Cu 2.51, 1 Ge 2.53
Y: 0.0000 0.0000 0.0000  4 Ge 2.91, 2 Si 3.00

## Properties
Total moment ... 0.00 Bohr magnetons per cell

Most stable one: B, least stable one: A.

A | This record from OQMD via LeMat-Bulk describes a geometry-optimized Y2Cu2SiGe structure. The functional is PBE.

Cell lengths 10.7263, 4.3783, 10.7277 Å; angles 90.00, 109.48, 90.00 degrees
Closest atoms and distances in Å follow each position.
Positions (direct):
Cu: 0.9951 0.0000 0.9992  4 Y 2.65-2.69, 3 Si 2.67, 1 Ge 2.74
Cu: 0.8723 0.5000 0.6265  4 Y 2.65-2.69, 3 Si 2.66-2.67, 1 Ge 2.72
Cu: 0.2538 0.0000 0.7491  1 Si 2.64, 4 Y 2.68-2.72, 3 Ge 2.69-2.70
Cu: 0.1210 0.5000 0.3705  2 Si 2.66, 4 Y 2.66-2.70, 2 Ge 2.71
Cu: 0.3748 0.5000 0.1253  4 Ge 2.67-2.69, 4 Y 2.69-2.70
Cu: 0.7544 0.0000 0.2540  2 Si 2.64-2.67, 4 Y 2.66-2.70, 2 Ge 2.71
Cu: 0.6258 0.5000 0.8717  4 Y 2.64-2.68, 3 Si 2.65-2.68, 1 Ge 2.73
Cu: 0.5032 0.0000 0.5037  2 Si 2.65-2.66, 4 Y 2.66-2.70, 2 Ge 2.71
Si: 0.9989 0.0000 0.2494  4 Cu 2.64-2.67
Si: 0.4999 0.0000 0.7492  4 Cu 2.64-2.68
Si: 0.8737 0.5000 0.8746  4 Cu 2.65-2.67
Si: 0.7504 0.0000 0.5012  4 Cu 2.66-2.67
Y: 0.1226 0.5000 0.1227  4 Cu 2.66-2.70
Y: 0.8753 0.5000 0.3774  4 Cu 2.66-2.68
Y: 0.3770 0.5000 0.8749  4 Cu 2.68-2.69
Y: 0.7482 0.0000 0.0000  4 Cu 2.65-2.70
Y: 0.0003 0.0000 0.7504  4 Cu 2.69-2.72
Y: 0.5019 0.0000 0.2519  4 Cu 2.69-2.70
Y: 0.2496 0.0000 0.4977  4 Cu 2.68-2.70
Y: 0.6251 0.5000 0.6251  4 Cu 2.64-2.66
Ge: 0.3748 0.5000 0.3744  4 Cu 2.67-2.71
Ge: 0.1258 0.5000 0.6249  4 Cu 2.69-2.72
Ge: 0.2505 0.0000 0.0000  4 Cu 2.68-2.74
Ge: 0.6255 0.5000 0.1261  4 Cu 2.69-2.73

## Properties
Total moment ... 0.00 Bohr magnetons per cell

B | This record from OQMD via LeMat-Bulk describes a geometry-optimized Y2Cu2SiGe structure. The functional is PBE.

Cell lengths 4.1805, 4.1805, 7.5305 Å; angles 90.00, 90.00, 120.00 degrees
Closest atoms and distances in Å follow each position.
Positions (direct):
Cu: 0.3333 0.6667 0.0000  3 Ge 2.41
Cu: 0.0000 0.0000 0.5000  3 Si 2.41
Y: 0.6667 0.3333 0.7478  3 Si 3.05, 6 Cu 3.05-3.07, 3 Ge 3.07
Y: 0.6667 0.3333 0.2522  3 Si 3.05, 6 Cu 3.05-3.07, 3 Ge 3.07
Ge: 0.0000 0.0000 0.0000  3 Cu 2.41
Si: 0.3333 0.6667 0.5000  3 Cu 2.41

## Properties
Total moment ... 0.01 Bohr magnetons per cell

Most stable one: B, least stable one: A.